Record 1
# AcEu2Ni (PBE, relaxed)
data_AcEu2Ni
_cell_length_a 3.9034
_cell_length_b 3.9034
_cell_length_c 32.6195
_cell_angle_alpha 90.00
_cell_angle_beta 90.00
_cell_angle_gamma 120.00
_symmetry_space_group_name_H-M 'R -3 m'
_symmetry_Int_Tables_number 166
_symmetry_space_group_name_Hall '-R 3 2"'
loop_
_atom_site_label
_atom_site_fract_x
_atom_site_fract_y
_atom_site_fract_z
_atom_site_occupancy
Ac1 0.0000 0.0000 0.0000 1
Eu1 0.0000 0.0000 0.1148 1
Ni1 0.0000 0.0000 0.5000 1
# Distance to the lowest polymorph of the same formula in meV/atom: 98.1
# Crystal system: trigonal
# ΔE_f in eV per formula unit: 0.5

***

Record 2
# LaCd2Ir (PBE, relaxed)
data_LaCd2Ir
_cell_length_a 5.5665
_cell_length_b 10.2308
_cell_length_c 3.2023
_cell_angle_alpha 90.00
_cell_angle_beta 90.00
_cell_angle_gamma 90.00
_symmetry_space_group_name_H-M 'C m m m'
_symmetry_Int_Tables_number 65
_symmetry_space_group_name_Hall '-C 2 2'
loop_
_atom_site_label
_atom_site_fract_x
_atom_site_fract_y
_atom_site_fract_z
_atom_site_occupancy
La1 0.0000 0.0000 0.0000 1
Cd1 0.2500 0.2500 0.5000 1
Ir1 0.0000 0.5000 0.0000 1
# Crystal system: orthorhombic
# ΔE_f in eV per formula unit: 0.3

***

Record 3
# LaZrW2 (PBE, relaxed)
data_LaZrW2
_cell_length_a 3.1695
_cell_length_b 3.1695
_cell_length_c 29.6718
_cell_angle_alpha 90.00
_cell_angle_beta 90.00
_cell_angle_gamma 120.00
_symmetry_space_group_name_H-M 'R 3 m'
_symmetry_Int_Tables_number 160
_symmetry_space_group_name_Hall 'R 3 -2"'
loop_
_atom_site_label
_atom_site_fract_x
_atom_site_fract_y
_atom_site_fract_z
_atom_site_occupancy
La1 0.0000 0.0000 0.0000 1
Zr1 0.0000 0.0000 0.2306 1
W1 0.0000 0.0000 0.4866 1
W2 0.0000 0.0000 0.7563 1
# Distance to the lowest polymorph of the same formula in meV/atom: 287.0
# Crystal system: trigonal
# ΔE_f in eV per formula unit: 2.1

***

Record 4
# LiAgW3 (PBE, relaxed)
data_LiAgW3
_cell_length_a 4.2590
_cell_length_b 4.2590
_cell_length_c 4.2590
_cell_angle_alpha 90.00
_cell_angle_beta 90.00
_cell_angle_gamma 90.00
_symmetry_space_group_name_H-M 'P m -3 m'
_symmetry_Int_Tables_number 221
_symmetry_space_group_name_Hall '-P 4 2 3'
loop_
_atom_site_label
_atom_site_fract_x
_atom_site_fract_y
_atom_site_fract_z
_atom_site_occupancy
Li1 0.0000 0.0000 0.0000 1
Ag1 0.5000 0.5000 0.5000 1
W1 0.0000 0.0000 0.5000 1
# Distance to the lowest polymorph of the same formula in meV/atom: 0.0
# Crystal system: cubic
# ΔE_f in eV per formula unit: 7.7

***

Question: Among the records above, which one has the lowest ΔE_f?
Answer: LaCd2Ir

***

Question: What is the ΔE_f in the second record?
Answer: 0.3 eV per formula unit

***

Question: Which value of ΔE_f does entry 4 give?
Answer: 7.7 eV per formula unit